1.
DFT (PBE) results for a geometry-optimized Th6Ge2SeS3 structure.

Cell lengths 9.2845, 9.2845, 8.2398 Å; angles 102.07, 102.07, 26.22 degrees
Closest atoms and distances in Å follow each position.
Atoms (fractional coordinates):
1 Th 0.0026 0.0026 0.2391  3 S 2.88-2.92, 1 Ge 2.96, 2 Se 3.02
2 Th 0.3293 0.3293 0.4207  3 S 2.86-2.91, 2 Ge 2.97, 1 Se 3.02
3 Th 0.3345 0.3345 0.9119  3 S 2.92, 3 Ge 2.99
4 Th 0.6655 0.6655 0.0881  3 S 2.92, 3 Ge 2.99
5 Th 0.6707 0.6707 0.5793  3 S 2.86-2.91, 2 Ge 2.97, 1 Se 3.02
6 Th 0.9974 0.9974 0.7609  3 S 2.88-2.92, 1 Ge 2.96, 2 Se 3.02
7 Ge 0.1651 0.1651 0.8307  6 Th 2.96-2.99
8 Ge 0.8349 0.8349 0.1693  6 Th 2.96-2.99
9 Se 0.5000 0.5000 0.5000  6 Th 3.02
10 S 0.1674 0.1674 0.3339  6 Th 2.86-2.92
11 S 0.5000 0.5000 0.0000  6 Th 2.88-2.92
12 S 0.8326 0.8326 0.6661  6 Th 2.86-2.92

Summary:
- Calculated total energy: -87.1 eV per cell


2.
DFT (PBE) results for a geometry-optimized Pr5Sm4Pu structure.

Cell lengths 9.2397, 9.2397, 8.8369 Å; angles 110.35, 110.35, 30.67 degrees
Closest atoms and distances in Å follow each position.
Atoms (fractional coordinates):
1 Pr 0.0000 0.0000 0.0000  4 Sm 3.35
2 Pr 0.3118 0.3118 0.8861  3 Sm 3.49-3.71, 3 Pr 3.50-3.72
3 Pr 0.3524 0.3524 0.3040  5 Sm 3.37-3.63, 3 Pr 3.50-3.72, 2 Pu 3.55
4 Pr 0.6476 0.6476 0.6960  5 Sm 3.37-3.63, 3 Pr 3.50-3.72, 2 Pu 3.55
5 Pr 0.6882 0.6882 0.1139  3 Sm 3.49-3.71, 3 Pr 3.50-3.72
6 Sm 0.1768 0.1768 0.4205  4 Sm 3.40-3.48, 1 Pu 3.47, 5 Pr 3.62-3.71
7 Sm 0.4638 0.4638 0.7237  5 Pr 3.35-3.52, 2 Pu 3.35, 2 Sm 3.40
8 Sm 0.5362 0.5362 0.2763  5 Pr 3.35-3.52, 2 Pu 3.35, 2 Sm 3.40
9 Sm 0.8232 0.8232 0.5795  4 Sm 3.40-3.48, 1 Pu 3.47, 5 Pr 3.62-3.71
10 Pu 0.0000 0.0000 0.5000  6 Sm 3.35-3.47, 4 Pr 3.55

Summary:
- Energy of formation from the pure elements: 251 meV/atom


3.
DFT (PBE) results for a geometry-optimized As2Pd2Pb structure.

Cell lengths 7.8722, 7.8722, 3.1277 Å; angles 90.00, 90.00, 90.00 degrees
Closest atoms and distances in Å follow each position.
Atoms (fractional coordinates):
1 As 0.1478 0.3522 0.0000  6 Pd 2.70-2.92
2 As 0.3522 0.8522 0.0000  6 Pd 2.70-2.92
3 As 0.6478 0.1478 0.0000  6 Pd 2.70-2.92
4 As 0.8522 0.6478 0.0000  6 Pd 2.70-2.92
5 Pd 0.1307 0.6307 0.5000  6 As 2.70-2.92, 1 Pd 2.91
6 Pd 0.3693 0.1307 0.5000  6 As 2.70-2.92, 1 Pd 2.91
7 Pd 0.6307 0.8693 0.5000  6 As 2.70-2.92, 1 Pd 2.91
8 Pd 0.8693 0.3693 0.5000  6 As 2.70-2.92, 1 Pd 2.91
9 Pb 0.0000 0.0000 0.5000  4 Pd 3.08, 2 Pb 3.13, 8 As 3.39
10 Pb 0.5000 0.5000 0.5000  4 Pd 3.08, 2 Pb 3.13, 8 As 3.39

Summary:
- Energy of formation from the pure elements: -132 meV/atom


4.
DFT (PBE) results for a geometry-optimized Pm6SnBi structure.

Cell lengths 4.9479, 4.9479, 9.9080 Å; angles 90.00, 90.00, 90.00 degrees
Closest atoms and distances in Å follow each position.
Atoms (fractional coordinates):
1 Pm 0.0000 0.0000 0.0000  8 Pm 3.47, 4 Sn 3.50
2 Pm 0.0000 0.0000 0.5000  4 Bi 3.50, 8 Pm 3.53
3 Pm 0.0000 0.5000 0.2458  2 Sn 3.47, 8 Pm 3.47-3.53, 2 Bi 3.53
4 Pm 0.0000 0.5000 0.7542  2 Sn 3.47, 8 Pm 3.47-3.53, 2 Bi 3.53
5 Pm 0.5000 0.0000 0.2458  2 Sn 3.47, 8 Pm 3.47-3.53, 2 Bi 3.53
6 Pm 0.5000 0.0000 0.7542  2 Sn 3.47, 8 Pm 3.47-3.53, 2 Bi 3.53
7 Sn 0.5000 0.5000 0.0000  12 Pm 3.47-3.50
8 Bi 0.5000 0.5000 0.5000  12 Pm 3.50-3.53

Summary:
- Energy of formation from the pure elements: -435 meV/atom


5.
DFT (PBE) results for a geometry-optimized Er2InO structure.

Cell lengths 3.7692, 3.7692, 26.4383 Å; angles 90.00, 90.00, 120.00 degrees
Closest atoms and distances in Å follow each position.
Atoms (fractional coordinates):
1 Er 0.0000 0.0000 0.0754  1 O 1.99
2 Er 0.0000 0.0000 0.9246  1 O 1.99
3 Er 0.3333 0.6667 0.5912  1 O 1.99
4 Er 0.3333 0.6667 0.7421  1 O 1.99
5 Er 0.6667 0.3333 0.2579  1 O 1.99
6 Er 0.6667 0.3333 0.4088  1 O 1.99
7 In 0.0000 0.0000 0.5000  6 Er 3.25
8 In 0.3333 0.6667 0.1667  6 Er 3.25
9 In 0.6667 0.3333 0.8333  6 Er 3.25
10 O 0.0000 0.0000 0.0000  2 Er 1.99
11 O 0.3333 0.6667 0.6667  2 Er 1.99
12 O 0.6667 0.3333 0.3333  2 Er 1.99

Summary:
- Calculated total energy: -65.5 eV per cell


6.
DFT (PBE) results for a geometry-optimized Cs2NaSn2 structure.

Cell lengths 7.5162, 7.5162, 10.0976 Å; angles 99.72, 99.72, 62.18 degrees
Closest atoms and distances in Å follow each position.
Atoms (fractional coordinates):
1 Cs 0.0289 0.6887 0.8736  2 Na 3.97-4.34, 6 Sn 3.99-4.11, 1 Cs 4.33
2 Cs 0.3113 0.9711 0.6264  2 Na 3.97-4.34, 6 Sn 3.99-4.11, 1 Cs 4.33
3 Cs 0.6887 0.0289 0.3736  2 Na 3.97-4.34, 6 Sn 3.99-4.11, 1 Cs 4.33
4 Cs 0.9711 0.3113 0.1264  2 Na 3.97-4.34, 6 Sn 3.99-4.11, 1 Cs 4.33
5 Na 0.4221 0.5779 0.2500  4 Sn 3.52-3.56
6 Na 0.5779 0.4221 0.7500  4 Sn 3.52-3.56
7 Sn 0.1728 0.5147 0.4951  1 Sn 2.73
8 Sn 0.4853 0.8272 0.0049  1 Sn 2.73
9 Sn 0.5147 0.1728 0.9951  1 Sn 2.73
10 Sn 0.8272 0.4853 0.5049  1 Sn 2.73

Summary:
- Energy of formation from the pure elements: -118 meV/atom


7.
DFT (PBE) results for a geometry-optimized GaNi2RhN structure.

Cell lengths 3.7388, 3.7388, 4.1885 Å; angles 90.00, 90.00, 90.00 degrees
Closest atoms and distances in Å follow each position.
Atoms (fractional coordinates):
1 Ga 0.0000 0.0000 0.0000  4 Rh 2.64, 8 Ni 2.81
2 Ni 0.0000 0.5000 0.5000  2 N 1.87
3 Ni 0.5000 0.0000 0.5000  2 N 1.87
4 Rh 0.5000 0.5000 0.0000  2 N 2.09
5 N 0.5000 0.5000 0.5000  4 Ni 1.87

Summary:
- Calculated total energy: -30.7 eV per cell


8.
DFT (PBE) results for a geometry-optimized NbSnTePb2 structure.

Cell lengths 5.5687, 5.5687, 5.4361 Å; angles 90.00, 90.00, 90.00 degrees
Closest atoms and distances in Å follow each position.
Atoms (fractional coordinates):
1 Nb 0.0000 0.0000 0.0000  2 Sn 2.72, 4 Pb 2.78
2 Sn 0.0000 0.0000 0.5000  2 Nb 2.72
3 Te 0.5000 0.5000 0.5000  8 Pb 3.89, 4 Sn 3.94
4 Pb 0.0000 0.5000 0.0000  2 Nb 2.78
5 Pb 0.5000 0.0000 0.0000  2 Nb 2.78

Summary:
- Calculated total energy: -22.4 eV per cell


9.
DFT (PBE) results for a geometry-optimized Hf4H2N structure.

Cell lengths 11.5282, 3.1752, 5.8396 Å; angles 90.00, 117.58, 90.00 degrees
Closest atoms and distances in Å follow each position.
Atoms (fractional coordinates):
1 Hf 0.1211 0.0000 0.2836  1 N 2.28, 2 H 2.30
2 Hf 0.1244 0.5000 0.7615  3 H 2.16-2.20, 2 N 2.21
3 Hf 0.3756 0.0000 0.2385  3 H 2.16-2.20, 2 N 2.21
4 Hf 0.3789 0.5000 0.7164  1 N 2.28, 2 H 2.30
5 Hf 0.6211 0.5000 0.2836  1 N 2.28, 2 H 2.30
6 Hf 0.6244 0.0000 0.7615  3 H 2.16-2.20, 2 N 2.21
7 Hf 0.8756 0.5000 0.2385  3 H 2.16-2.20, 2 N 2.21
8 Hf 0.8789 0.0000 0.7164  1 N 2.28, 2 H 2.30
9 H 0.2327 0.5000 0.1778  5 Hf 2.16-2.30
10 H 0.2673 0.0000 0.8222  5 Hf 2.16-2.30
11 H 0.7327 0.0000 0.1778  5 Hf 2.16-2.30
12 H 0.7673 0.5000 0.8222  5 Hf 2.16-2.30
13 N 0.0000 0.0000 0.5000  6 Hf 2.21-2.28
14 N 0.5000 0.5000 0.5000  6 Hf 2.21-2.28

Summary:
- Calculated total energy: -119.5 eV per cell


10.
DFT (PBE) results for a geometry-optimized RbTlCoSn2 structure.

Cell lengths 5.1064, 5.1064, 5.4280 Å; angles 90.00, 90.00, 90.00 degrees
Closest atoms and distances in Å follow each position.
Atoms (fractional coordinates):
1 Rb 0.0000 0.0000 0.0000  4 Tl 3.61, 8 Sn 3.73
2 Tl 0.5000 0.5000 0.0000  2 Co 2.71
3 Co 0.5000 0.5000 0.5000  4 Sn 2.55, 2 Tl 2.71
4 Sn 0.0000 0.5000 0.5000  2 Co 2.55
5 Sn 0.5000 0.0000 0.5000  2 Co 2.55

Summary:
- Energy of formation from the pure elements: 84 meV/atom


Number 1: N(E_F) 8.1 states/eV/f.u.. Number 2: N(E_F) 19.2 states/eV/f.u.. Number 3: N(E_F) 2.6 states/eV/f.u.. Number 4: N(E_F) 9.2 states/eV/f.u.. Number 5: N(E_F) 3.7 states/eV/f.u.. Number 6: N(E_F) 2.3 states/eV/f.u.. Number 7: N(E_F) 3.4 states/eV/f.u.. Number 8: N(E_F) 5.2 states/eV/f.u.. Number 9: N(E_F) 2.3 states/eV/f.u.. Number 10: N(E_F) 4.6 states/eV/f.u..